Record 1
{"formula": "Cr2AgMo", "functional": "GGA-PBEsol", "state": "optimized geometry", "lattice_angstrom": [[1.425, 0.823, 8.246], [-1.425, 0.823, 8.246], [0.000, -1.646, 8.246]], "species": ["Cr", "Cr", "Ag", "Mo"], "fractional_positions": [[0.242, 0.242, 0.242], [0.758, 0.758, 0.758], [0.000, 0.000, 0.000], [0.500, 0.500, 0.500]], "polymorph_energy_ev_per_fu": 0.84}



Record 2
{"formula": "Zr5Ge3", "functional": "GGA-PBEsol", "state": "optimized geometry", "lattice_angstrom": [[8.007, 0.000, 0.000], [-4.003, 6.934, 0.000], [0.000, 0.000, 5.555]], "species": ["Zr", "Zr", "Zr", "Zr", "Zr", "Zr", "Zr", "Zr", "Zr", "Zr", "Ge", "Ge", "Ge", "Ge", "Ge", "Ge"], "fractional_positions": [[0.000, 0.253, 0.250], [0.000, 0.747, 0.750], [0.253, 0.000, 0.250], [0.253, 0.253, 0.750], [0.333, 0.667, 0.000], [0.333, 0.667, 0.500], [0.667, 0.333, 0.000], [0.667, 0.333, 0.500], [0.747, 0.000, 0.750], [0.747, 0.747, 0.250], [0.000, 0.389, 0.750], [0.000, 0.611, 0.250], [0.389, 0.000, 0.750], [0.389, 0.389, 0.250], [0.611, 0.000, 0.250], [0.611, 0.611, 0.750]], "dft_energy_ev_per_atom": -8.403}



Record 3
{"formula": "TaCrNi", "functional": "GGA-PBEsol", "state": "optimized geometry", "lattice_angstrom": [[2.668, 0.000, 0.000], [-1.334, 2.311, 0.000], [0.000, 0.000, 6.526]], "species": ["Ta", "Cr", "Ni"], "fractional_positions": [[0.000, 0.000, 0.000], [0.333, 0.667, 0.635], [0.667, 0.333, 0.345]], "polymorph_energy_ev_per_fu": 1.55}



Record 4
{"formula": "Li2CaZn", "functional": "GGA-PBEsol", "state": "optimized geometry", "lattice_angstrom": [[-2.265, 2.265, 4.176], [2.265, -2.265, 4.176], [2.265, 2.265, -4.176]], "species": ["Li", "Li", "Ca", "Zn"], "fractional_positions": [[0.000, 0.000, 0.000], [0.750, 0.250, 0.500], [0.250, 0.750, 0.500], [0.500, 0.500, 0.000]], "dft_energy_ev_per_atom": -1.948}



Record 5
{"formula": "AgAu", "functional": "GGA-PBEsol", "state": "optimized geometry", "lattice_angstrom": [[1.377, -5.423, 0.000], [1.377, 5.423, 0.000], [0.000, 0.000, 4.517]], "species": ["Ag", "Ag", "Au", "Au"], "fractional_positions": [[0.070, 0.930, 0.750], [0.930, 0.070, 0.250], [0.326, 0.674, 0.750], [0.674, 0.326, 0.250]], "dft_energy_ev_per_atom": -3.613}



Record 6
{"formula": "MoAs2POs", "functional": "GGA-PBEsol", "state": "optimized geometry", "lattice_angstrom": [[4.820, 0.000, 0.000], [0.000, 4.820, 0.000], [0.000, 0.000, 4.375]], "species": ["Mo", "As", "As", "P", "Os"], "fractional_positions": [[0.000, 0.000, 0.000], [0.000, 0.500, 0.500], [0.500, 0.000, 0.500], [0.500, 0.500, 0.000], [0.500, 0.500, 0.500]], "dft_energy_ev_per_atom": -6.753}



Record 7
{"formula": "MnNb3Cl", "functional": "GGA-PBEsol", "state": "optimized geometry", "lattice_angstrom": [[4.609, 0.000, 0.000], [0.000, 4.609, 0.000], [0.000, 0.000, 4.609]], "species": ["Mn", "Nb", "Nb", "Nb", "Cl"], "fractional_positions": [[0.000, 0.000, 0.000], [0.000, 0.000, 0.500], [0.000, 0.500, 0.000], [0.500, 0.000, 0.000], [0.500, 0.500, 0.500]], "polymorph_energy_ev_per_fu": 1.19}



Record 8
{"formula": "MgCdNi", "functional": "GGA-PBEsol", "state": "optimized geometry", "lattice_angstrom": [[-1.564, 1.564, 4.868], [1.564, -1.564, 4.868], [1.564, 1.564, -4.868]], "species": ["Mg", "Cd", "Ni"], "fractional_positions": [[0.000, 0.000, 0.000], [0.299, 0.299, 0.000], [0.643, 0.643, 0.000]], "polymorph_energy_ev_per_fu": 0.00}



Record 9
{"formula": "ZrPt2C", "functional": "GGA-PBEsol", "state": "optimized geometry", "lattice_angstrom": [[-2.698, 2.698, 4.888], [2.698, -2.698, 4.888], [2.698, 2.698, -4.888]], "species": ["Zr", "Zr", "Pt", "Pt", "Pt", "Pt", "C", "C"], "fractional_positions": [[0.000, 0.000, 0.000], [0.750, 0.250, 0.500], [0.226, 0.625, 0.101], [0.375, 0.476, 0.601], [0.524, 0.125, 0.899], [0.875, 0.774, 0.399], [0.250, 0.750, 0.500], [0.500, 0.500, 0.000]], "dft_energy_ev_per_atom": -8.118}



Record 10
{"formula": "Cs3MgW", "functional": "GGA-PBEsol", "state": "optimized geometry", "lattice_angstrom": [[7.119, 0.000, 0.000], [0.000, 7.119, 0.000], [0.000, 0.000, 7.119]], "species": ["Cs", "Cs", "Cs", "Mg", "W"], "fractional_positions": [[0.000, 0.000, 0.500], [0.000, 0.500, 0.000], [0.500, 0.000, 0.000], [0.000, 0.000, 0.000], [0.500, 0.500, 0.500]], "dft_energy_ev_per_atom": -1.936}



Record 11
{"formula": "KBeSi2", "functional": "GGA-PBEsol", "state": "optimized geometry", "lattice_angstrom": [[1.449, 0.837, 9.152], [-1.449, 0.837, 9.152], [0.000, -1.673, 9.152]], "species": ["K", "Be", "Si", "Si"], "fractional_positions": [[0.000, 0.000, 0.000], [0.500, 0.500, 0.500], [0.232, 0.232, 0.232], [0.768, 0.768, 0.768]], "dft_energy_ev_per_atom": -3.625}



Record 12
{"formula": "CaYNi4", "functional": "GGA-PBEsol", "state": "optimized geometry", "lattice_angstrom": [[0.000, 3.526, 3.526], [3.526, 0.000, 3.526], [3.526, 3.526, 0.000]], "species": ["Ca", "Y", "Ni", "Ni", "Ni", "Ni"], "fractional_positions": [[0.000, 0.000, 0.000], [0.250, 0.250, 0.250], [0.125, 0.625, 0.625], [0.625, 0.125, 0.625], [0.625, 0.625, 0.125], [0.625, 0.625, 0.625]], "dft_energy_ev_per_atom": -5.909}